VASP calculation (GGA+U) on Li2MoF after structural relaxation.

abc: 6.037 6.037 5.984
angles: 59.70 59.70 90.00
Each line ends with the local moment (μB).
Atoms (fractional coordinates):
1 Li 0.327 0.625 0.250  0.01
2 Mo 0.000 0.000 0.000  4.06
3 F 0.250 0.750 0.500  0.04
4 Li 0.423 0.125 0.250  0.02
5 Li 0.375 0.577 0.750  0.02
6 Li 0.875 0.673 0.750  0.01
7 F 0.500 0.500 0.000  0.04
8 Mo 0.750 0.250 0.500  4.06

Computed properties:
Offset from the most stable computed form in eV/atom: 0.000
Spin magnetization in μB/cell: 10.44